(1)
## CaGa2Pd2 (PBE)

Data for CaGa2Pd2 after structural relaxation.

DFT formation energy (eV per atom): -0.602
SG: No. 127

Unit cell a=7.6572 b=7.6572 c=2.9860 alpha=90.00 beta=90.00 gamma=90.00
Closest atoms and distances in Å follow each position.
Positions (direct):
Ca 0.0000 0.0000 0.0000  2 Ca 2.99, 4 Ga 3.05, 8 Pd 3.19
Ca 0.5000 0.5000 0.0000  2 Ca 2.99, 4 Ga 3.05, 8 Pd 3.19
Ga 0.1205 0.3795 0.0000  1 Ga 2.61, 6 Pd 2.63-2.77
Ga 0.3795 0.8795 0.0000  1 Ga 2.61, 6 Pd 2.63-2.77
Ga 0.6205 0.1205 0.0000  1 Ga 2.61, 6 Pd 2.63-2.77
Ga 0.8795 0.6205 0.0000  1 Ga 2.61, 6 Pd 2.63-2.77
Pd 0.1792 0.6792 0.5000  6 Ga 2.63-2.77
Pd 0.3208 0.1792 0.5000  6 Ga 2.63-2.77
Pd 0.6792 0.8208 0.5000  6 Ga 2.63-2.77
Pd 0.8208 0.3208 0.5000  6 Ga 2.63-2.77

***

(2)
## La4Tb2PmPr (PBE)

Data for La4Tb2PmPr after structural relaxation.

DFT formation energy (eV per atom): 0.012
SG: No. 10

Unit cell a=6.3907 b=3.6945 c=12.0996 alpha=90.00 beta=100.19 gamma=90.00
Closest atoms and distances in Å follow each position.
Positions (direct):
La 0.2492 0.0000 0.2459  3 Tb 3.62, 6 La 3.68-3.70, 2 Pr 3.70, 1 Pm 3.70
La 0.2493 0.5000 0.7534  3 Tb 3.62-3.63, 6 La 3.68-3.70, 2 Pm 3.69, 1 Pr 3.70
La 0.7508 0.0000 0.7541  3 Tb 3.62, 6 La 3.68-3.70, 2 Pr 3.70, 1 Pm 3.70
La 0.7507 0.5000 0.2466  3 Tb 3.62-3.63, 6 La 3.68-3.70, 2 Pm 3.69, 1 Pr 3.70
Tb 0.0000 0.5000 0.0000  6 La 3.62, 6 Tb 3.69
Tb 0.5000 0.0000 0.0000  6 La 3.62-3.63, 6 Tb 3.69
Pm 0.0000 0.0000 0.5000  4 Pr 3.69, 6 La 3.69-3.70, 2 Pm 3.69
Pr 0.5000 0.5000 0.5000  4 Pm 3.69, 2 Pr 3.69, 6 La 3.70

***

(3)
## Pm4Sm3DyS8 (PBE)

Data for Pm4Sm3DyS8 after structural relaxation.

SG: No. 166
ΔE_f (raw) (eV per atom): -2.02

Unit cell a=8.0248 b=8.0248 c=8.0248 alpha=59.92 beta=59.92 gamma=59.92
Closest atoms and distances in Å follow each position.
Positions (direct):
Pm 0.0000 0.0000 0.0000  6 S 2.89
Pm 0.0000 0.5000 0.5000  6 S 2.84-2.85
Pm 0.5000 0.0000 0.5000  6 S 2.84-2.85
Pm 0.5000 0.5000 0.0000  6 S 2.84-2.85
Sm 0.0000 0.0000 0.5000  6 S 2.83
Sm 0.0000 0.5000 0.0000  6 S 2.83
Sm 0.5000 0.0000 0.0000  6 S 2.83
Dy 0.5000 0.5000 0.5000  6 S 2.78
S 0.2492 0.2492 0.2492  3 Sm 2.83, 3 Pm 2.84
S 0.2529 0.7454 0.7454  1 Dy 2.78, 2 Sm 2.83, 3 Pm 2.85-2.89
S 0.2546 0.2546 0.7471  1 Dy 2.78, 2 Sm 2.83, 3 Pm 2.85-2.89
S 0.2546 0.7471 0.2546  1 Dy 2.78, 2 Sm 2.83, 3 Pm 2.85-2.89
S 0.7454 0.2529 0.7454  1 Dy 2.78, 2 Sm 2.83, 3 Pm 2.85-2.89
S 0.7454 0.7454 0.2529  1 Dy 2.78, 2 Sm 2.83, 3 Pm 2.85-2.89
S 0.7471 0.2546 0.2546  1 Dy 2.78, 2 Sm 2.83, 3 Pm 2.85-2.89
S 0.7508 0.7508 0.7508  3 Sm 2.83, 3 Pm 2.84

***

(4)
## Dy8Cd2Fe (PBE)

Data for Dy8Cd2Fe after structural relaxation.

DFT formation energy (eV per atom): -0.058
SG: No. 44

Unit cell a=9.0739 b=9.0739 c=9.0739 alpha=135.64 beta=57.87 gamma=144.77
Closest atoms and distances in Å follow each position.
Positions (direct):
Dy 0.9999 0.2404 0.2405  2 Fe 3.20-3.21, 8 Dy 3.29-3.56, 2 Cd 3.43
Dy 0.9999 0.7594 0.7595  2 Fe 3.20-3.21, 8 Dy 3.29-3.56, 2 Cd 3.43
Dy 0.1949 0.0000 0.1949  4 Cd 3.35-3.43, 8 Dy 3.37-3.51
Dy 0.3794 0.2416 0.6210  1 Fe 2.61
Dy 0.3794 0.7584 0.1378  1 Fe 2.61
Dy 0.6206 0.2416 0.8622  1 Fe 2.61
Dy 0.6206 0.7584 0.3790  1 Fe 2.61
Dy 0.8050 0.0000 0.8051  4 Cd 3.35-3.43, 8 Dy 3.37-3.51
Cd 0.1846 0.5000 0.6846  12 Dy 3.35-3.56
Cd 0.8153 0.5000 0.3154  12 Dy 3.35-3.56
Fe 0.5010 0.5010 0.0000  4 Dy 2.61

***

(5)
## ThGa2SiRu4 (PBE)

Data for ThGa2SiRu4 after structural relaxation.

SG: No. 166
ΔE_f (raw) (eV per atom): -0.42

Unit cell a=8.2699 b=8.2699 c=8.2699 alpha=30.26 beta=30.26 gamma=30.26
Closest atoms and distances in Å follow each position.
Positions (direct):
Th 0.0000 0.0000 0.0000  8 Ru 2.91-3.13
Ga 0.2418 0.2418 0.2418  7 Ru 2.58-2.67
Ga 0.7582 0.7582 0.7582  7 Ru 2.58-2.67
Si 0.5000 0.5000 0.5000  8 Ru 2.43-2.62
Ru 0.1322 0.1322 0.1322  4 Ga 2.59-2.67, 3 Si 2.62
Ru 0.3972 0.3972 0.3972  1 Si 2.43, 3 Ga 2.58
Ru 0.6028 0.6028 0.6028  1 Si 2.43, 3 Ga 2.58
Ru 0.8678 0.8678 0.8678  4 Ga 2.59-2.67, 3 Si 2.62

***

(6)
## GdZrH2 (PBE)

Data for GdZrH2 after structural relaxation.

SG: No. 166

Unit cell a=5.9287 b=5.9287 c=5.9287 alpha=32.96 beta=32.96 gamma=32.96
Closest atoms and distances in Å follow each position.
Positions (direct):
Gd 0.0000 0.0000 0.0000  6 H 2.59
Zr 0.5000 0.5000 0.5000  6 H 2.23
H 0.2314 0.2314 0.2314  3 Zr 2.23
H 0.7686 0.7686 0.7686  3 Zr 2.23

***

(7)
## SbRuCl2 (PBE)

Data for SbRuCl2 after structural relaxation.

SG: No. 119
Distance to the lowest polymorph of the same formula (meV/atom): 587
ΔE_f (raw) (eV per atom): 0.41

Unit cell a=4.6568 b=4.6568 c=4.6568 alpha=111.55 beta=111.55 gamma=105.39
Closest atoms and distances in Å follow each position.
Positions (direct):
Sb 0.0000 0.0000 0.0000  6 Cl 2.82-2.98, 4 Ru 2.98
Ru 0.2500 0.7500 0.5000  6 Cl 2.82-2.98, 4 Sb 2.98
Cl 0.5000 0.5000 0.0000  2 Sb 2.82, 4 Cl 2.98, 4 Ru 2.98
Cl 0.7500 0.2500 0.5000  2 Ru 2.82, 4 Cl 2.98, 4 Sb 2.98

***

(8)
## YVAs2 (PBE)

Data for YVAs2 after structural relaxation.

DFT formation energy (eV per atom): -0.841
SG: No. 166
Distance to the lowest polymorph of the same formula (meV/atom): 0

Unit cell a=6.5678 b=6.5678 c=6.5678 alpha=34.64 beta=34.64 gamma=34.64
Closest atoms and distances in Å follow each position.
Positions (direct):
Y 0.0000 0.0000 0.0000  6 As 2.87
V 0.5000 0.5000 0.5000  6 As 2.61
As 0.2374 0.2374 0.2374  3 V 2.61, 3 Y 2.87
As 0.7626 0.7626 0.7626  3 V 2.61, 3 Y 2.87

***

Calculated values (eV/cell) of VASP energy for the records, taken in order: -42.904 -38.404 -103.107 -47.742 -59.376 -30.616 -15.447 -28.247.
Calculated values (Å³/atom) of volume for the records, taken in order: 17.508 35.146 22.795 27.164 15.904 13.725 19.362 20.420.
Calculated values (μB/f.u.) of spin magnetization for the records, taken in order: 0.00 0.00 0.00 0.00 0.00 7.52 0.83 1.82.